The following is a DFT calculation (PBE) of a relaxed KBa2NaHg crystal.

Relative energy among the computed polymorphs (meV per atom): 27
V (Å³ per atom): 59.0
DFT formation energy (eV per atom): -0.078
Space-group type: No. 123

Geometry as POSCAR:
```
KBa2NaHg
1.0
6.652 0.000 0.000
0.000 6.652 0.000
0.000 0.000 6.670
Ba K Na Hg
2 1 1 1
Cartesian
0.000 3.326 0.000 Ba
3.326 0.000 0.000 Ba
0.000 0.000 3.335 K
3.326 3.326 3.335 Na
0.000 0.000 0.000 Hg
```

The following is a DFT calculation (PBE) of a relaxed NaTl2InCl4 crystal.

Formation energy from raw total energies (eV/atom): -1.136
V (Å³ per atom): 31.4
Space-group type: No. 10

Geometry as POSCAR:
```
NaTl2InCl4
1.0
-0.600 -3.085 3.131
-0.115 -5.490 -5.432
7.228 -2.572 -1.150
Tl Cl Na In
2 4 1 1
Cartesian
3.314 -2.829 0.991 Tl
7.228 -2.572 -1.150 Tl
5.241 -5.914 -4.823 Cl
4.932 -4.920 -0.760 Cl
1.581 -6.227 -2.690 Cl
1.272 -5.233 1.373 Cl
3.557 -4.031 -3.291 Na
-0.358 -4.287 -1.150 In
```

The following is a DFT calculation (PBE) of a relaxed LiNd2H6O6 crystal.

Relative energy among the computed polymorphs (meV per atom): 74
V (Å³ per atom): 9.5
Space-group type: No. 2

Geometry as POSCAR:
```
LiNd2H6O6
1.0
3.812 0.003 0.002
-0.011 6.560 -0.020
-0.001 -3.250 5.717
H O Nd Li
6 6 2 1
Cartesian
0.570 5.115 0.563 H
3.222 -0.200 1.571 H
3.211 2.070 4.729 H
3.231 -1.801 5.136 H
0.590 1.244 0.970 H
0.578 3.513 4.128 H
0.971 4.220 0.438 O
2.832 1.730 3.881 O
2.829 -0.906 5.261 O
2.834 -0.766 2.283 O
0.966 4.079 3.416 O
0.968 1.584 1.818 O
0.989 0.019 3.806 Nd
2.811 3.295 1.893 Nd
1.906 0.002 0.001 Li
```